Below is a geometry-optimized CoMoPAu2 structure, with properties calculated at the PBEsol level.

Properties
As for the total energy: -4.89 eV/atom. The formation energy is 1741.3 meV per atom. The crystal system is tetragonal.

Unit cell a=4.9437 b=4.9437 c=4.2478 alpha=90.00 beta=90.00 gamma=90.00
Last column: nearest neighbours and their distance in Å.
Space group P4/mmm (No. 123)
One atom of each set of equivalent atoms:
Co: 0.0000 0.0000 0.0000 (multiplicity 1)  2 Mo 2.12
Mo: 0.0000 0.0000 0.5000 (multiplicity 1)  2 Co 2.12
P: 0.5000 0.5000 0.0000 (multiplicity 1)  8 Au 3.26, 4 Co 3.50
Au: 0.0000 0.5000 0.5000 (multiplicity 2)  2 Mo 2.47

Below is a geometry-optimized Sn3AsF structure, with properties calculated at the PBEsol level.

Properties
As for the total energy: -4.18 eV/atom. The crystal system is cubic.

Unit cell a=4.8880 b=4.8880 c=4.8880 alpha=90.00 beta=90.00 gamma=90.00
Last column: nearest neighbours and their distance in Å.
Space group Pm-3m (No. 221)
One atom of each set of equivalent atoms:
Sn: 0.0000 0.0000 0.5000 (multiplicity 3)  2 F 2.44
As: 0.5000 0.5000 0.5000 (multiplicity 1)  12 Sn 3.46
F: 0.0000 0.0000 0.0000 (multiplicity 1)  6 Sn 2.44